The following is a PBE with a Hubbard U calculation of crystalline CrWF2 at its relaxed geometry, from Alexandria via LeMat-Bulk.

a b c (Å): 4.3081 4.3081 4.3081
angles (deg): 60.00 60.00 60.00
Closest atoms and distances in Å follow each position.
Positions (direct):
W 0.5000 0.5000 0.5000  8 F 2.64
F 0.2500 0.2500 0.2500  4 W 2.64, 4 Cr 2.64
F 0.7500 0.7500 0.7500  4 Cr 2.64, 4 W 2.64
Cr 0.0000 0.0000 0.0000  8 F 2.64

Values from the calculation:
Spin magnetization, μB per cell: 4.93
Calculated total energy, eV/atom: -4.772
Mass density, g cm⁻³: 8.04
Energy above the lowest structure with this stoichiometry, kJ/mol of atoms: 52.7